{"formula": "Sm4HoMg", "functional": "PBE", "state": "optimized geometry", "lattice_angstrom": [[3.625, 0.000, 0.000], [0.000, 3.625, 0.000], [0.000, 0.000, 14.443]], "species": ["Sm", "Sm", "Sm", "Sm", "Ho", "Mg"], "fractional_positions": [[0.000, 0.000, 0.652], [0.500, 0.500, 0.174], [0.000, 0.000, 0.348], [0.500, 0.500, 0.826], [0.000, 0.000, 0.000], [0.500, 0.500, 0.500]], "polymorph_energy_mev_per_atom": 0, "formation_energy_mev_per_atom": -19, "volume_a3_per_cell": 190, "magnetic_moment_mub_per_fu": 0.0}